[1]
The following is a PBE calculation of crystalline BaLiMgPb at its relaxed geometry, from the Alexandria database.

The density is 5.1 g cm⁻³. As for the density of states at the Fermi level: 0.615 states/eV per atom. As for the space-group type: No. 216. As for the formation energy: -218 meV per atom. Its spin magnetization is 0.00 μB per atom.

```
BaLiMgPb
1.0
7.890 0.000 0.000
0.000 7.890 0.000
0.000 0.000 7.890
Ba Li Mg Pb
4 4 4 4
Cartesian
0.000 0.000 0.000
0.000 3.945 3.945
3.945 0.000 3.945
3.945 3.945 0.000
1.973 1.973 1.973
1.973 5.918 5.918
5.918 1.973 5.918
5.918 5.918 1.973
0.000 0.000 3.945
0.000 3.945 0.000
3.945 0.000 0.000
3.945 3.945 3.945
1.973 1.973 5.918
1.973 5.918 1.973
5.918 1.973 1.973
5.918 5.918 5.918
```

[2]
The following is a PBE calculation of crystalline BaLiMg2Pb2 at its relaxed geometry, from the Alexandria database.

The density is 5.7 g cm⁻³. As for the density of states at the Fermi level: 0.459 states/eV per atom. As for the space-group type: No. 164. As for the formation energy: -350 meV per atom. Its spin magnetization is 0.00 μB per atom.

```
BaLiMg2Pb2
1.0
4.946 0.000 0.000
-2.473 4.283 0.000
0.000 0.000 8.338
Ba Li Mg Pb
1 1 2 2
Cartesian
0.000 0.000 0.000
0.000 0.000 4.169
0.000 2.855 5.262
2.473 1.428 3.075
0.000 2.855 2.193
2.473 1.428 6.145
```

[3]
The following is a PBE calculation of crystalline Ba2LiMgPd at its relaxed geometry, from the Alexandria database.

The density is 3.3 g cm⁻³. As for the density of states at the Fermi level: 0.793 states/eV per atom. As for the space-group type: No. 123. As for the formation energy: 375 meV per atom. Its spin magnetization is 0.00 μB per atom. As for the energy relative to the lowest polymorph listed for this composition: 583 meV per atom.

```
Ba2LiMgPd
1.0
6.455 0.000 0.000
0.000 6.455 0.000
0.000 0.000 4.915
Ba Li Mg Pd
2 1 1 1
Cartesian
0.000 3.227 0.000
3.227 0.000 0.000
0.000 0.000 2.457
0.000 0.000 0.000
3.227 3.227 2.457
```

[4]
The following is a PBE calculation of crystalline Ba2LiMgPd at its relaxed geometry, from the Alexandria database.

The density is 3.4 g cm⁻³. As for the density of states at the Fermi level: 0.882 states/eV per atom. As for the space-group type: No. 123. As for the formation energy: -208 meV per atom. Its spin magnetization is 0.00 μB per atom. As for the energy relative to the lowest polymorph listed for this composition: 0 meV per atom.

```
Ba2LiMgPd
1.0
6.203 0.000 0.000
0.000 6.203 0.000
0.000 0.000 5.225
Ba Li Mg Pd
2 1 1 1
Cartesian
0.000 3.102 0.000
3.102 0.000 0.000
0.000 0.000 2.613
3.102 3.102 2.613
3.102 3.102 0.000
```

[5]
The following is a PBE calculation of crystalline Ba2LiMgPd at its relaxed geometry, from the Alexandria database.

The density is 3.5 g cm⁻³. As for the density of states at the Fermi level: 0.739 states/eV per atom. As for the space-group type: No. 123. As for the formation energy: -151 meV per atom. Its spin magnetization is 0.00 μB per atom. As for the energy relative to the lowest polymorph listed for this composition: 57 meV per atom.

```
Ba2LiMgPd
1.0
6.205 0.000 0.000
0.000 6.205 0.000
0.000 0.000 5.013
Ba Li Mg Pd
2 1 1 1
Cartesian
0.000 3.102 0.000
3.102 0.000 0.000
0.000 0.000 2.506
3.102 3.102 2.506
0.000 0.000 0.000
```

[6]
The following is a PBE calculation of crystalline BaLiMgPd at its relaxed geometry, from the Alexandria database.

The density is 4.1 g cm⁻³. As for the density of states at the Fermi level: 0.595 states/eV per atom. As for the space-group type: No. 8. As for the formation energy: -360 meV per atom. Its spin magnetization is 0.00 μB per atom.

```
BaLiMgPd
1.0
8.158 0.000 0.000
0.000 4.715 0.000
-2.710 0.000 5.731
Ba Li Mg Pd
2 2 2 2
Cartesian
0.000 0.000 0.000
4.079 2.358 0.000
1.359 2.358 2.453
5.438 0.000 2.453
-1.361 2.358 3.092
2.718 0.000 3.092
-0.001 0.000 3.347
4.078 2.358 3.347
```

[7]
The following is a PBE calculation of crystalline Ba2Li3Mg12Pd at its relaxed geometry, from the Alexandria database.

The density is 2.3 g cm⁻³. As for the density of states at the Fermi level: 0.558 states/eV per atom. As for the space-group type: No. 166. As for the formation energy: 68 meV per atom. Its spin magnetization is 0.00 μB per atom.

```
Ba2Li3Mg12Pd
1.0
3.719 2.147 10.610
-3.719 2.147 10.610
0.000 -4.294 10.610
Ba Li Mg Pd
2 3 12 1
Cartesian
0.000 0.000 4.730
0.000 0.000 27.100
-1.859 -1.073 10.610
-1.859 1.073 21.220
0.000 2.147 10.610
0.000 -2.561 9.111
-2.218 1.280 9.111
-1.546 -0.893 13.888
-2.218 -1.280 22.719
0.000 -1.785 17.942
-1.546 0.893 17.942
1.546 -0.893 13.888
0.000 1.785 13.888
2.218 1.280 9.111
1.546 0.893 17.942
2.218 -1.280 22.719
0.000 2.561 22.719
0.000 0.000 15.915
```

[8]
The following is a PBE calculation of crystalline BaLi2MgPd at its relaxed geometry, from the Alexandria database.

The density is 3.5 g cm⁻³. As for the density of states at the Fermi level: 0.520 states/eV per atom. As for the space-group type: No. 123. As for the formation energy: -195 meV per atom. Its spin magnetization is 0.00 μB per atom.

```
BaLi2MgPd
1.0
5.129 0.000 0.000
0.000 5.129 0.000
0.000 0.000 5.138
Ba Li Mg Pd
1 2 1 1
Cartesian
0.000 0.000 0.000
0.000 2.565 2.569
2.565 0.000 2.569
2.565 2.565 0.000
2.565 2.565 2.569
```

[9]
The following is a PBE calculation of crystalline BaLiMg2Pd at its relaxed geometry, from the Alexandria database.

The density is 3.6 g cm⁻³. As for the density of states at the Fermi level: 0.557 states/eV per atom. As for the space-group type: No. 123. As for the formation energy: -260 meV per atom. Its spin magnetization is 0.00 μB per atom.

```
BaLiMg2Pd
1.0
5.153 0.000 0.000
0.000 5.153 0.000
0.000 0.000 5.238
Ba Li Mg Pd
1 1 2 1
Cartesian
0.000 0.000 0.000
2.577 2.577 0.000
0.000 2.577 2.619
2.577 0.000 2.619
2.577 2.577 2.619
```

[10]
The following is a PBE calculation of crystalline BaLiPmMg at its relaxed geometry, from the Alexandria database.

The density is 3.8 g cm⁻³. As for the density of states at the Fermi level: 1.163 states/eV per atom. As for the space-group type: No. 216. As for the formation energy: 111 meV per atom. Its spin magnetization is 0.00 μB per atom.

```
BaLiPmMg
1.0
8.210 0.000 0.000
0.000 8.210 0.000
0.000 0.000 8.210
Ba Li Pm Mg
4 4 4 4
Cartesian
0.000 0.000 0.000
0.000 4.105 4.105
4.105 0.000 4.105
4.105 4.105 0.000
2.052 2.052 2.052
2.052 6.157 6.157
6.157 2.052 6.157
6.157 6.157 2.052
0.000 0.000 4.105
0.000 4.105 0.000
4.105 0.000 0.000
4.105 4.105 4.105
2.052 2.052 6.157
2.052 6.157 2.052
6.157 2.052 2.052
6.157 6.157 6.157
```

[11]
The following is a PBE calculation of crystalline BaLiPrMg at its relaxed geometry, from the Alexandria database.

The density is 3.6 g cm⁻³. As for the density of states at the Fermi level: 1.187 states/eV per atom. As for the space-group type: No. 216. As for the formation energy: 96 meV per atom. Its spin magnetization is 0.00 μB per atom.

```
BaLiPrMg
1.0
8.263 0.000 0.000
0.000 8.263 0.000
0.000 0.000 8.263
Ba Li Pr Mg
4 4 4 4
Cartesian
0.000 0.000 0.000
0.000 4.132 4.132
4.132 0.000 4.132
4.132 4.132 0.000
2.066 2.066 2.066
2.066 6.198 6.198
6.198 2.066 6.198
6.198 6.198 2.066
0.000 0.000 4.132
0.000 4.132 0.000
4.132 0.000 0.000
4.132 4.132 4.132
2.066 2.066 6.198
2.066 6.198 2.066
6.198 2.066 2.066
6.198 6.198 6.198
```

[12]
The following is a PBE calculation of crystalline BaLi2MgPt at its relaxed geometry, from the Alexandria database.

The density is 4.7 g cm⁻³. As for the density of states at the Fermi level: 0.538 states/eV per atom. As for the space-group type: No. 123. As for the formation energy: -291 meV per atom. Its spin magnetization is 0.00 μB per atom.

```
BaLi2MgPt
1.0
5.081 0.000 0.000
0.000 5.081 0.000
0.000 0.000 5.106
Ba Li Mg Pt
1 2 1 1
Cartesian
0.000 0.000 0.000
0.000 2.541 2.553
2.541 0.000 2.553
2.541 2.541 0.000
2.541 2.541 2.553
```

Q: What is the formula in the third record?
A: Ba2LiMgPd